# AlB4Os, optimized geometry, DFT PBE
data_AlB4Os
_cell_length_a 2.9834
_cell_length_b 2.9834
_cell_length_c 6.6914
_cell_angle_alpha 90.00
_cell_angle_beta 90.00
_cell_angle_gamma 120.00
_space_group_name_H-M_alt 'P 6/m m m'
_space_group_IT_number 191
_space_group_name_Hall '-P 6 2'
loop_
_atom_site_label
_atom_site_type_symbol
_atom_site_fract_x
_atom_site_fract_y
_atom_site_fract_z
Al1 Al 0.0000 0.0000 0.0000
B1 B 0.3333 0.6667 0.2359
Os1 Os 0.0000 0.0000 0.5000
# Total magnetic moment ... 0.0061 μB per atom
# E ... -6.735 eV/atom


# TaGaIr, optimized geometry, DFT PBE
data_TaGaIr
_cell_length_a 6.097
_cell_length_b 6.097
_cell_length_c 6.097
_cell_angle_alpha 90.00
_cell_angle_beta 90.00
_cell_angle_gamma 90.00
_space_group_name_H-M_alt 'F -4 3 m'
_space_group_IT_number 216
_space_group_name_Hall 'F -4 2 3'
loop_
_atom_site_label
_atom_site_type_symbol
_atom_site_fract_x
_atom_site_fract_y
_atom_site_fract_z
Ta1 Ta 0.000 0.000 0.000
Ga1 Ga 0.250 0.250 0.750
Ir1 Ir 0.250 0.250 0.250
# Total magnetic moment ... 0.0002 μB per atom
# E ... -7.851 eV/atom


# DyHo2In3Co2Cu, optimized geometry, DFT PBE
data_DyHo2In3Co2Cu
_cell_length_a 3.838
_cell_length_b 12.785
_cell_length_c 7.383
_cell_angle_alpha 90.00
_cell_angle_beta 90.00
_cell_angle_gamma 90.00
_space_group_name_H-M_alt 'A m m 2'
_space_group_IT_number 38
_space_group_name_Hall 'A 2 -2'
loop_
_atom_site_label
_atom_site_type_symbol
_atom_site_fract_x
_atom_site_fract_y
_atom_site_fract_z
Dy1 Dy 0.000 0.000 0.000
Ho1 Ho 0.000 0.206 0.620
In1 In 0.500 0.000 0.672
In2 In 0.500 0.130 0.284
Co1 Co 0.500 0.167 0.913
Cu1 Cu 0.000 0.000 0.413
# Total magnetic moment ... 0.0009 μB per atom
# E ... -4.770 eV/atom


# NdGdPu, optimized geometry, DFT PBE
data_NdGdPu
_cell_length_a 7.654
_cell_length_b 7.654
_cell_length_c 7.654
_cell_angle_alpha 90.00
_cell_angle_beta 90.00
_cell_angle_gamma 90.00
_space_group_name_H-M_alt 'F -4 3 m'
_space_group_IT_number 216
_space_group_name_Hall 'F -4 2 3'
loop_
_atom_site_label
_atom_site_type_symbol
_atom_site_fract_x
_atom_site_fract_y
_atom_site_fract_z
Nd1 Nd 0.000 0.000 0.000
Gd1 Gd 0.000 0.000 0.500
Pu1 Pu 0.250 0.250 0.750
# Total magnetic moment ... 2.2281 μB per atom
# E ... -7.073 eV/atom


# SiAuNO, optimized geometry, DFT PBE
data_SiAuNO
_cell_length_a 7.740
_cell_length_b 5.863
_cell_length_c 4.974
_cell_angle_alpha 90.00
_cell_angle_beta 90.00
_cell_angle_gamma 90.00
_space_group_name_H-M_alt 'P b c m'
_space_group_IT_number 57
_space_group_name_Hall '-P 2c 2b'
loop_
_atom_site_label
_atom_site_type_symbol
_atom_site_fract_x
_atom_site_fract_y
_atom_site_fract_z
Si1 Si 0.166 0.250 0.000
Au1 Au 0.473 0.639 0.250
N1 N 0.289 0.118 0.750
O1 O 0.054 0.120 0.250
# E ... -6.313 eV/atom


# CdInIr, optimized geometry, DFT PBE
data_CdInIr
_cell_length_a 2.999
_cell_length_b 4.571
_cell_length_c 4.771
_cell_angle_alpha 90.00
_cell_angle_beta 90.00
_cell_angle_gamma 90.00
_space_group_name_H-M_alt 'P m m m'
_space_group_IT_number 47
_space_group_name_Hall '-P 2 2'
loop_
_atom_site_label
_atom_site_type_symbol
_atom_site_fract_x
_atom_site_fract_y
_atom_site_fract_z
Cd1 Cd 0.000 0.000 0.000
In1 In 0.000 0.500 0.500
Ir1 Ir 0.500 0.000 0.500
# Total magnetic moment ... 0.0017 μB per atom
# E ... -4.290 eV/atom


# NaPtWAu, optimized geometry, DFT PBE
data_NaPtWAu
_cell_length_a 6.470
_cell_length_b 6.470
_cell_length_c 6.470
_cell_angle_alpha 90.00
_cell_angle_beta 90.00
_cell_angle_gamma 90.00
_space_group_name_H-M_alt 'F -4 3 m'
_space_group_IT_number 216
_space_group_name_Hall 'F -4 2 3'
loop_
_atom_site_label
_atom_site_type_symbol
_atom_site_fract_x
_atom_site_fract_y
_atom_site_fract_z
Na1 Na 0.000 0.000 0.000
Pt1 Pt 0.250 0.250 0.250
W1 W 0.000 0.000 0.500
Au1 Au 0.250 0.250 0.750
# Total magnetic moment ... 0.0005 μB per atom
# E ... -5.510 eV/atom


# CoTeBr, optimized geometry, DFT PBE
data_CoTeBr
_cell_length_a 3.642
_cell_length_b 3.642
_cell_length_c 7.090
_cell_angle_alpha 75.40
_cell_angle_beta 75.53
_cell_angle_gamma 60.00
_space_group_name_H-M_alt 'P 1'
_space_group_IT_number 1
_space_group_name_Hall 'P 1'
loop_
_atom_site_label
_atom_site_type_symbol
_atom_site_fract_x
_atom_site_fract_y
_atom_site_fract_z
Co1 Co 0.000 0.000 0.000
Te1 Te 0.731 0.733 0.800
Br1 Br 0.266 0.264 0.210
# Total magnetic moment ... 0.0036 μB per atom
# E ... -4.209 eV/atom


# KScBAu, optimized geometry, DFT PBE
data_KScBAu
_cell_length_a 6.572
_cell_length_b 6.572
_cell_length_c 6.572
_cell_angle_alpha 90.00
_cell_angle_beta 90.00
_cell_angle_gamma 90.00
_space_group_name_H-M_alt 'F -4 3 m'
_space_group_IT_number 216
_space_group_name_Hall 'F -4 2 3'
loop_
_atom_site_label
_atom_site_type_symbol
_atom_site_fract_x
_atom_site_fract_y
_atom_site_fract_z
K1 K 0.000 0.000 0.000
Sc1 Sc 0.250 0.250 0.250
B1 B 0.000 0.000 0.500
Au1 Au 0.250 0.250 0.750
# Total magnetic moment ... 0.0000 μB per atom
# E ... -3.601 eV/atom


# Li3Gd3Si2Sn, optimized geometry, DFT PBE
data_Li3Gd3Si2Sn
_cell_length_a 7.1317
_cell_length_b 7.1317
_cell_length_c 4.3467
_cell_angle_alpha 90.00
_cell_angle_beta 90.00
_cell_angle_gamma 120.00
_space_group_name_H-M_alt 'P -6 2 m'
_space_group_IT_number 189
_space_group_name_Hall 'P -6 -2'
loop_
_atom_site_label
_atom_site_type_symbol
_atom_site_fract_x
_atom_site_fract_y
_atom_site_fract_z
Li1 Li 0.0000 0.7593 0.0000
Gd1 Gd 0.0000 0.4460 0.5000
Si1 Si 0.3333 0.6667 0.0000
Sn1 Sn 0.0000 0.0000 0.5000
# Total magnetic moment ... 0.0001 μB per atom
# E ... -4.468 eV/atom


# GdTePt, optimized geometry, DFT PBE
data_GdTePt
_cell_length_a 5.2458
_cell_length_b 5.2458
_cell_length_c 3.1939
_cell_angle_alpha 90.00
_cell_angle_beta 90.00
_cell_angle_gamma 120.00
_space_group_name_H-M_alt 'P -6 m 2'
_space_group_IT_number 187
_space_group_name_Hall 'P -6 2'
loop_
_atom_site_label
_atom_site_type_symbol
_atom_site_fract_x
_atom_site_fract_y
_atom_site_fract_z
Gd1 Gd 0.0000 0.0000 0.0000
Te1 Te 0.3333 0.6667 0.0000
Pt1 Pt 0.6667 0.3333 0.0000
# Total magnetic moment ... 0.0040 μB per atom
# E ... -4.870 eV/atom


# YSiPt2, optimized geometry, DFT PBE
data_YSiPt2
_cell_length_a 3.871
_cell_length_b 3.871
_cell_length_c 5.378
_cell_angle_alpha 90.00
_cell_angle_beta 90.00
_cell_angle_gamma 90.00
_space_group_name_H-M_alt 'P 4/m m m'
_space_group_IT_number 123
_space_group_name_Hall '-P 4 2'
loop_
_atom_site_label
_atom_site_type_symbol
_atom_site_fract_x
_atom_site_fract_y
_atom_site_fract_z
Y1 Y 0.000 0.000 0.000
Si1 Si 0.500 0.500 0.500
Pt1 Pt 0.000 0.000 0.500
Pt2 Pt 0.500 0.500 0.000
# Total magnetic moment ... 0.0007 μB per atom
# E ... -6.496 eV/atom